No. 1
A relaxed PaAlSiOs crystal. Source: Alexandria via LeMat-Bulk, functional PBE.

Cell lengths 3.2289, 4.8833, 4.9562 Å; angles 90.00, 90.00, 90.00 degrees
Sites, in units of the cell vectors:
Pa (0.0000, 0.0000, 0.0000)
Al (0.5000, 0.5000, 0.0000)
Si (0.5000, 0.5000, 0.5000)
Os (0.5000, 0.0000, 0.5000)

Values from the calculation:
**Spin magnetization**: 0.00 μB/cell
**Calculated volume**: 78 Å³ per cell
**Space group**: Pmmm (47)
**E_tot**: -7.19 eV per atom



No. 2
A relaxed Pa2AlSi3Os4 crystal. Source: Alexandria via LeMat-Bulk, functional PBE.

Cell lengths 4.1172, 4.1172, 10.0839 Å; angles 90.00, 90.00, 90.00 degrees
Sites, in units of the cell vectors:
Pa (0.0000, 0.5000, 0.2466)
Pa (0.5000, 0.0000, 0.7534)
Al (0.0000, 0.0000, 0.5000)
Si (0.0000, 0.5000, 0.8768)
Si (0.5000, 0.0000, 0.1232)
Si (0.5000, 0.5000, 0.5000)
Os (0.0000, 0.0000, 0.0000)
Os (0.0000, 0.5000, 0.6426)
Os (0.5000, 0.0000, 0.3574)
Os (0.5000, 0.5000, 0.0000)

Values from the calculation:
**Spin magnetization**: 0.00 μB/cell
**Calculated volume**: 171 Å³ per cell
**Space group**: P-4m2 (115)
**E_tot**: -8.96 eV per atom



No. 3
A relaxed Pa2TaAl2Os5 crystal. Source: Alexandria via LeMat-Bulk, functional PBE.

Cell lengths 9.9427, 9.9427, 3.4965 Å; angles 90.00, 90.00, 90.00 degrees
Sites, in units of the cell vectors:
Pa (0.1743, 0.3257, 0.0000)
Pa (0.3257, 0.8257, 0.0000)
Pa (0.6743, 0.1743, 0.0000)
Pa (0.8257, 0.6743, 0.0000)
Ta (0.0000, 0.0000, 0.0000)
Ta (0.5000, 0.5000, 0.0000)
Al (0.1230, 0.6230, 0.0000)
Al (0.3770, 0.1230, 0.0000)
Al (0.6230, 0.8770, 0.0000)
Al (0.8770, 0.3770, 0.0000)
Os (0.0000, 0.5000, 0.5000)
Os (0.0721, 0.7953, 0.5000)
Os (0.2047, 0.0721, 0.5000)
Os (0.2953, 0.5721, 0.5000)
Os (0.4279, 0.2953, 0.5000)
Os (0.5000, 0.0000, 0.5000)
Os (0.5721, 0.7047, 0.5000)
Os (0.7047, 0.4279, 0.5000)
Os (0.7953, 0.9279, 0.5000)
Os (0.9279, 0.2047, 0.5000)

Values from the calculation:
**Spin magnetization**: 0.00 μB/cell
**Calculated volume**: 346 Å³ per cell
**Space group**: P4/mbm (127)
**E_tot**: -9.73 eV per atom



No. 4
A relaxed TbPaAlOs crystal. Source: Alexandria via LeMat-Bulk, functional PBE.

Cell lengths 4.8346, 4.8346, 4.8346 Å; angles 60.00, 60.00, 60.00 degrees
Sites, in units of the cell vectors:
Tb (0.0000, 0.0000, 0.0000)
Pa (0.2500, 0.2500, 0.2500)
Al (0.7500, 0.7500, 0.7500)
Os (0.5000, 0.5000, 0.5000)

Values from the calculation:
**Spin magnetization**: 0.03 μB/cell
**Calculated volume**: 80 Å³ per cell
**Space group**: F-43m (216)
**E_tot**: -7.41 eV per atom



No. 5
A relaxed PaAlTcOs crystal. Source: Alexandria via LeMat-Bulk, functional PBE.

Cell lengths 3.5583, 4.3473, 4.4385 Å; angles 90.00, 90.00, 90.00 degrees
Sites, in units of the cell vectors:
Pa (0.0000, 0.0000, 0.0000)
Al (0.0000, 0.5000, 0.5000)
Tc (0.5000, 0.5000, 0.0000)
Os (0.5000, 0.0000, 0.5000)

Values from the calculation:
**Spin magnetization**: 0.00 μB/cell
**Calculated volume**: 69 Å³ per cell
**Space group**: Pmmm (47)
**ΔE to the lowest computed polymorph**: 0.0 meV/atom
**E_tot**: -9.12 eV per atom



No. 6
A relaxed PaAlTcOs crystal. Source: Alexandria via LeMat-Bulk, functional PBE.

Cell lengths 4.6277, 4.6277, 4.6277 Å; angles 60.00, 60.00, 60.00 degrees
Sites, in units of the cell vectors:
Pa (0.0000, 0.0000, 0.0000)
Al (0.5000, 0.5000, 0.5000)
Tc (0.7500, 0.7500, 0.7500)
Os (0.2500, 0.2500, 0.2500)

Values from the calculation:
**Spin magnetization**: 0.00 μB/cell
**Calculated volume**: 70 Å³ per cell
**Space group**: F-43m (216)
**ΔE to the lowest computed polymorph**: 82.6 meV/atom
**E_tot**: -9.04 eV per atom



No. 7
A relaxed Pa3Al3Tc2Os crystal. Source: Alexandria via LeMat-Bulk, functional PBE.

Cell lengths 6.8663, 6.8663, 4.1940 Å; angles 90.00, 90.00, 120.00 degrees
Sites, in units of the cell vectors:
Pa (0.0000, 0.5773, 0.0000)
Pa (0.4227, 0.4227, 0.0000)
Pa (0.5773, 0.0000, 0.0000)
Al (0.0000, 0.2301, 0.5000)
Al (0.2301, 0.0000, 0.5000)
Al (0.7699, 0.7699, 0.5000)
Tc (0.3333, 0.6667, 0.5000)
Tc (0.6667, 0.3333, 0.5000)
Os (0.0000, 0.0000, 0.0000)

Values from the calculation:
**Spin magnetization**: 0.00 μB/cell
**Calculated volume**: 171 Å³ per cell
**Space group**: P-62m (189)
**E_tot**: -8.44 eV per atom



No. 8
A relaxed TmPaAlOs crystal. Source: Alexandria via LeMat-Bulk, functional PBE.

Cell lengths 4.9298, 4.9298, 4.9298 Å; angles 60.00, 60.00, 60.00 degrees
Sites, in units of the cell vectors:
Tm (0.0000, 0.0000, 0.0000)
Pa (0.5000, 0.5000, 0.5000)
Al (0.7500, 0.7500, 0.7500)
Os (0.2500, 0.2500, 0.2500)

Values from the calculation:
**Spin magnetization**: 0.00 μB/cell
**Calculated volume**: 85 Å³ per cell
**Space group**: F-43m (216)
**E_tot**: -7.39 eV per atom



Please write out number 1 again, unchanged.
A relaxed PaAlSiOs crystal. Source: Alexandria via LeMat-Bulk, functional PBE.

Cell lengths 3.2289, 4.8833, 4.9562 Å; angles 90.00, 90.00, 90.00 degrees
Sites, in units of the cell vectors:
Pa (0.0000, 0.0000, 0.0000)
Al (0.5000, 0.5000, 0.0000)
Si (0.5000, 0.5000, 0.5000)
Os (0.5000, 0.0000, 0.5000)

Values from the calculation:
**Spin magnetization**: 0.00 μB/cell
**Calculated volume**: 78 Å³ per cell
**Space group**: Pmmm (47)
**E_tot**: -7.19 eV per atom